# 1
# GGA-PBE Na3Al2Se4, relaxed
# Formation energy from raw total energies ... -0.89 eV per atom
# Total energy ... -3.709 eV/atom
# Size of the total moment ... 0.00 μB/f.u.
data_Na3Al2Se4
_cell_length_a 13.0705
_cell_length_b 9.9143
_cell_length_c 7.4678
_cell_angle_alpha 90.00
_cell_angle_beta 90.35
_cell_angle_gamma 90.00
_symmetry_space_group_name_H-M 'C 1 2/c 1'
_symmetry_Int_Tables_number 15
loop_
_symmetry_equiv_pos_as_xyz
'x,y,z'
'-x,-y,-z'
'-x,y,-z+1/2'
'x,-y,z+1/2'
'x+1/2,y+1/2,z'
'-x+1/2,-y+1/2,-z'
'-x+1/2,y+1/2,-z+1/2'
'x+1/2,-y+1/2,z+1/2'
loop_
_atom_site_label
_atom_site_type_symbol
_atom_site_fract_x
_atom_site_fract_y
_atom_site_fract_z
Na1 Na 0.0000 0.0974 0.2500
Na2 Na 0.1221 0.3714 0.4645
Al1 Al 0.1955 0.1230 0.9053
Se1 Se 0.1198 0.3280 0.0535
Se2 Se 0.1513 0.0822 0.5787

---

# 2
# GGA-PBE Tb2Pm3Pr6Ho, relaxed
# ΔE_f ... 0.0124 eV per atom
# Total energy ... -4.718 eV/atom
# Size of the total moment ... 0.00 μB/f.u.
data_Tb2Pm3Pr6Ho
_cell_length_a 6.3518
_cell_length_b 11.0055
_cell_length_c 12.0430
_cell_angle_alpha 90.00
_cell_angle_beta 100.12
_cell_angle_gamma 90.00
_symmetry_space_group_name_H-M 'C 1 2/m 1'
_symmetry_Int_Tables_number 12
loop_
_symmetry_equiv_pos_as_xyz
'x,y,z'
'-x,-y,-z'
'-x,y,-z'
'x,-y,z'
'x+1/2,y+1/2,z'
'-x+1/2,-y+1/2,-z'
'-x+1/2,y+1/2,-z'
'x+1/2,-y+1/2,z'
loop_
_atom_site_label
_atom_site_type_symbol
_atom_site_fract_x
_atom_site_fract_y
_atom_site_fract_z
Tb1 Tb 0.0000 0.1667 0.0000
Pm1 Pm 0.0000 0.0000 0.5000
Pm2 Pm 0.0000 0.3333 0.5000
Pr1 Pr 0.2494 0.3335 0.2470
Pr2 Pr 0.2498 0.0000 0.2472
Ho1 Ho 0.0000 0.5000 0.0000

---

# 3
# GGA-PBE TaTiZnMo, relaxed
# ΔE_f ... -0.1443 eV per atom
# Polymorph energy (0 for the lowest one) ... 0 meV per atom
# Total energy ... -8.107 eV/atom
# Size of the total moment ... 0.00 μB/f.u.
data_TaTiZnMo
_cell_length_a 3.2734
_cell_length_b 3.2734
_cell_length_c 6.0686
_cell_angle_alpha 90.00
_cell_angle_beta 90.00
_cell_angle_gamma 90.00
_symmetry_space_group_name_H-M 'P 4 m m'
_symmetry_Int_Tables_number 99
loop_
_symmetry_equiv_pos_as_xyz
'x,y,z'
'-y,x,z'
'-x,-y,z'
'y,-x,z'
'-x,y,z'
'y,x,z'
'x,-y,z'
'-y,-x,z'
loop_
_atom_site_label
_atom_site_type_symbol
_atom_site_fract_x
_atom_site_fract_y
_atom_site_fract_z
Ta1 Ta 0.0000 0.0000 0.0000
Ti1 Ti 0.0000 0.0000 0.4877
Zn1 Zn 0.5000 0.5000 0.7346
Mo1 Mo 0.5000 0.5000 0.2423

---

# 4
# GGA-PBE MgInGe2, relaxed
# ΔE_f ... 0.0690 eV per atom
# Polymorph energy (0 for the lowest one) ... 0 meV per atom
# Total energy ... -3.323 eV/atom
# Size of the total moment ... 0.00 μB/f.u.
data_MgInGe2
_cell_length_a 4.4640
_cell_length_b 4.4640
_cell_length_c 4.2735
_cell_angle_alpha 90.00
_cell_angle_beta 90.00
_cell_angle_gamma 90.00
_symmetry_space_group_name_H-M 'P 4/m m m'
_symmetry_Int_Tables_number 123
_symmetry_space_group_name_Hall '-P 4 2'
loop_
_atom_site_label
_atom_site_type_symbol
_atom_site_fract_x
_atom_site_fract_y
_atom_site_fract_z
Mg1 Mg 0.0000 0.0000 0.0000
In1 In 0.5000 0.5000 0.0000
Ge1 Ge 0.0000 0.5000 0.5000

---

# 5
# GGA-PBE TcPt2Br, relaxed
# Formation energy from raw total energies ... 0.26 eV per atom
# Polymorph energy (0 for the lowest one) ... 55 meV per atom
# Total energy ... -5.765 eV/atom
# Size of the total moment ... 0.00 μB/f.u.
data_TcPt2Br
_cell_length_a 8.7587
_cell_length_b 2.8982
_cell_length_c 6.7175
_cell_angle_alpha 90.00
_cell_angle_beta 100.14
_cell_angle_gamma 90.00
_symmetry_space_group_name_H-M 'C 1 m 1'
_symmetry_Int_Tables_number 8
loop_
_symmetry_equiv_pos_as_xyz
'x,y,z'
'x,-y,z'
'x+1/2,y+1/2,z'
'x+1/2,-y+1/2,z'
loop_
_atom_site_label
_atom_site_type_symbol
_atom_site_fract_x
_atom_site_fract_y
_atom_site_fract_z
Tc1 Tc 0.0000 0.0000 0.0000
Pt1 Pt 0.2433 0.5000 0.1346
Pt2 Pt 0.4940 0.0000 0.3332
Br1 Br 0.4114 0.0000 0.6893

---

# 6
# GGA-PBE KZr2Sc, relaxed
# ΔE_f ... 0.5393 eV per atom
# Polymorph energy (0 for the lowest one) ... 210 meV per atom
# Total energy ... -5.592 eV/atom
# Size of the total moment ... 0.00 μB/f.u.
data_KZr2Sc
_cell_length_a 10.5333
_cell_length_b 3.0960
_cell_length_c 7.7132
_cell_angle_alpha 90.00
_cell_angle_beta 92.87
_cell_angle_gamma 90.00
_symmetry_space_group_name_H-M 'C 1 2/m 1'
_symmetry_Int_Tables_number 12
loop_
_symmetry_equiv_pos_as_xyz
'x,y,z'
'-x,-y,-z'
'-x,y,-z'
'x,-y,z'
'x+1/2,y+1/2,z'
'-x+1/2,-y+1/2,-z'
'-x+1/2,y+1/2,-z'
'x+1/2,-y+1/2,z'
loop_
_atom_site_label
_atom_site_type_symbol
_atom_site_fract_x
_atom_site_fract_y
_atom_site_fract_z
K1 K 0.0000 0.0000 0.0000
Zr1 Zr 0.2407 0.0000 0.6612
Sc1 Sc 0.0000 0.5000 0.5000

---

Which value of size of the total moment does entry 1 give? 0.00 μB/f.u.